A relaxed structure of Nd3AuS2, computed with GGA-PBE.

Structure (POSCAR):
```
Nd3AuS2
1.0
2.1976 -6.8073 0.0000
2.1976 6.8073 0.0000
0.0000 0.0000 10.8374
Nd Au S
6 2 4
direct
0.1030 0.8970 0.7500
0.3605 0.6395 0.5595
0.3605 0.6395 0.9405
0.6395 0.3605 0.0595
0.6395 0.3605 0.4405
0.8970 0.1030 0.2500
0.2403 0.7597 0.2500
0.7597 0.2403 0.7500
0.0000 0.0000 0.0000
0.0000 0.0000 0.5000
0.4902 0.5098 0.7500
0.5098 0.4902 0.2500
```

Calculated values
The uncorrected energy comes out at -67.3 eV for the cell shown. As for the density of states at the Fermi level: 4.62 states/eV/f.u.

---

A relaxed structure of Nd8AuSe4S3, computed with GGA-PBE.

Structure (POSCAR):
```
Nd8AuSe4S3
1.0
4.1685 2.4067 6.8980
-4.1685 2.4067 6.8980
0.0000 -4.8134 6.8980
Nd Au Se S
8 1 4 3
direct
0.2386 0.7510 0.7510
0.2432 0.2432 0.2432
0.2490 0.2490 0.7614
0.2490 0.7614 0.2490
0.7510 0.2386 0.7510
0.7510 0.7510 0.2386
0.7568 0.7568 0.7568
0.7614 0.2490 0.2490
0.5000 0.5000 0.5000
0.0000 0.0000 0.0000
0.0000 0.5000 0.5000
0.5000 0.0000 0.5000
0.5000 0.5000 0.0000
0.0000 0.0000 0.5000
0.0000 0.5000 0.0000
0.5000 0.0000 0.0000
```

Calculated values
The uncorrected energy comes out at -96.2 eV for the cell shown. As for the density of states at the Fermi level: 7.16 states/eV/f.u.

---

A relaxed structure of Nd6AuSe2S3, computed with GGA-PBE.

Structure (POSCAR):
```
Nd6AuSe2S3
1.0
3.6053 -6.2461 0.0000
3.6053 6.2461 0.0000
-2.4003 0.0000 6.8044
Nd Au Se S
6 1 2 3
direct
0.0753 0.4130 0.2363
0.2521 0.2521 0.7659
0.4130 0.0753 0.2363
0.5870 0.9247 0.7637
0.7479 0.7479 0.2341
0.9247 0.5870 0.7637
0.5000 0.5000 0.5000
0.1656 0.8344 0.5000
0.8344 0.1656 0.5000
0.0000 0.0000 0.0000
0.3328 0.6672 0.0000
0.6672 0.3328 0.0000
```

Calculated values
The uncorrected energy comes out at -72.4 eV for the cell shown. As for the density of states at the Fermi level: 5.12 states/eV/f.u.

---

A relaxed structure of Nd8AuSe3S4, computed with GGA-PBE.

Structure (POSCAR):
```
Nd8AuSe3S4
1.0
4.1565 2.3998 6.8163
-4.1565 2.3998 6.8163
0.0000 -4.7995 6.8163
Nd Au Se S
8 1 3 4
direct
0.2430 0.2430 0.2430
0.2466 0.7429 0.7429
0.2571 0.2571 0.7534
0.2571 0.7534 0.2571
0.7429 0.2466 0.7429
0.7429 0.7429 0.2466
0.7534 0.2571 0.2571
0.7570 0.7570 0.7570
0.0000 0.0000 0.0000
0.0000 0.5000 0.5000
0.5000 0.0000 0.5000
0.5000 0.5000 0.0000
0.0000 0.0000 0.5000
0.0000 0.5000 0.0000
0.5000 0.0000 0.0000
0.5000 0.5000 0.5000
```

Calculated values
The uncorrected energy comes out at -97.2 eV for the cell shown. As for the density of states at the Fermi level: 7.40 states/eV/f.u.

---

A relaxed structure of NdTlAuS2, computed with GGA-PBE.

Structure (POSCAR):
```
NdTlAuS2
1.0
6.4331 0.0000 0.0000
0.0000 5.6211 0.0000
-2.0027 0.0000 7.7305
Nd Tl Au S
2 2 2 4
direct
0.0000 0.0022 0.2500
0.0000 0.9978 0.7500
0.5000 0.3232 0.2500
0.5000 0.6768 0.7500
0.0000 0.5000 0.0000
0.0000 0.5000 0.5000
0.2608 0.1915 0.5536
0.2608 0.8085 0.0536
0.7392 0.1915 0.9464
0.7392 0.8085 0.4464
```

Calculated values
The uncorrected energy comes out at -45.9 eV for the cell shown. As for the density of states at the Fermi level: 1.97 states/eV/f.u.

---

A relaxed structure of NdSbAu3, computed with GGA-PBE.

Structure (POSCAR):
```
NdSbAu3
1.0
-2.6606 2.6606 10.5130
2.6606 -2.6606 10.5130
2.6606 2.6606 -10.5130
Nd Sb Au
2 2 6
direct
0.1637 0.1637 0.0000
0.8363 0.8363 0.0000
0.2500 0.7500 0.5000
0.5000 0.5000 0.0000
0.3673 0.6178 0.7495
0.3822 0.1317 0.7495
0.3822 0.6327 0.2505
0.5926 0.0926 0.5000
0.8683 0.6178 0.2505
0.9074 0.4074 0.5000
```

Calculated values
The uncorrected energy comes out at -39.9 eV for the cell shown. As for the density of states at the Fermi level: 1.17 states/eV/f.u.

---

A relaxed structure of Nd3Sb4Au3, computed with GGA-PBE.

Structure (POSCAR):
```
Nd3Sb4Au3
1.0
-5.0621 5.0621 5.0621
5.0621 -5.0621 5.0621
5.0621 5.0621 -5.0621
Nd Sb Au
6 8 6
direct
0.1250 0.7500 0.8750
0.2500 0.6250 0.3750
0.3750 0.2500 0.6250
0.6250 0.3750 0.2500
0.7500 0.8750 0.1250
0.8750 0.1250 0.7500
0.0000 0.3260 0.5000
0.0000 0.8260 0.5000
0.1740 0.1740 0.1740
0.3260 0.5000 0.0000
0.5000 0.0000 0.3260
0.5000 0.0000 0.8260
0.6740 0.6740 0.6740
0.8260 0.5000 0.0000
0.1250 0.8750 0.2500
0.2500 0.1250 0.8750
0.3750 0.6250 0.7500
0.6250 0.7500 0.3750
0.7500 0.3750 0.6250
0.8750 0.2500 0.1250
```

Calculated values
The uncorrected energy comes out at -98.8 eV for the cell shown.

---

A relaxed structure of Nd6Sb3Au, computed with GGA-PBE.

Structure (POSCAR):
```
Nd6Sb3Au
1.0
5.8728 -7.6658 0.0000
5.8728 7.6658 0.0000
0.0000 0.0000 7.5027
Nd Sb Au
12 6 2
direct
0.0077 0.9923 0.5000
0.0947 0.5590 0.0487
0.2505 0.7495 0.6056
0.2804 0.3680 0.6144
0.3680 0.2804 0.1144
0.4410 0.9053 0.0487
0.5590 0.0947 0.5487
0.6320 0.7196 0.6144
0.7196 0.6320 0.1144
0.7495 0.2505 0.1056
0.9053 0.4410 0.5487
0.9923 0.0077 0.0000
0.0717 0.2823 0.2782
0.2823 0.0717 0.7782
0.4132 0.5868 0.9190
0.5868 0.4132 0.4190
0.7177 0.9283 0.2782
0.9283 0.7177 0.7782
0.1594 0.8406 0.2460
0.8406 0.1594 0.7460
```

Calculated values
The uncorrected energy comes out at -102.9 eV for the cell shown. As for the density of states at the Fermi level: 9.67 states/eV/f.u.

---

A relaxed structure of NdSbAu4, computed with GGA-PBE.

Structure (POSCAR):
```
NdSbAu4
1.0
0.0000 4.0331 4.0331
4.0331 0.0000 4.0331
4.0331 4.0331 0.0000
Nd Sb Au
1 1 4
direct
0.0000 0.0000 0.0000
0.7500 0.7500 0.7500
0.3750 0.3750 0.3750
0.3750 0.3750 0.8751
0.3750 0.8751 0.3750
0.8751 0.3750 0.3750
```

Calculated values
The uncorrected energy comes out at -24.5 eV for the cell shown. As for the density of states at the Fermi level: 2.26 states/eV/f.u.

---

A relaxed structure of NdSb2Au, computed with GGA-PBE.

Structure (POSCAR):
```
NdSb2Au
1.0
4.7825 0.0000 0.0000
0.0000 4.7825 0.0000
0.0000 0.0000 4.4087
Nd Sb Au
1 2 1
direct
0.0000 0.0000 0.0000
0.0000 0.5000 0.5000
0.5000 0.0000 0.5000
0.5000 0.5000 0.0000
```

Calculated values
The uncorrected energy comes out at -18.6 eV for the cell shown. As for the density of states at the Fermi level: 1.62 states/eV/f.u.

---

A relaxed structure of NdSb2Au2, computed with GGA-PBE.

Structure (POSCAR):
```
NdSb2Au2
1.0
2.2379 -12.0736 0.0000
2.2379 12.0736 0.0000
0.0000 0.0000 4.4618
Nd Sb Au
2 4 4
direct
0.1465 0.8535 0.7500
0.8535 0.1465 0.2500
0.2497 0.7503 0.2500
0.3853 0.6147 0.7500
0.6147 0.3853 0.2500
0.7503 0.2497 0.7500
0.0405 0.9595 0.2500
0.4600 0.5400 0.2500
0.5400 0.4600 0.7500
0.9595 0.0405 0.7500
```

Calculated values
The uncorrected energy comes out at -44.7 eV for the cell shown. As for the density of states at the Fermi level: 1.85 states/eV/f.u.

---

A relaxed structure of NdSbAu3, computed with GGA-PBE.

Structure (POSCAR):
```
NdSbAu3
1.0
7.6645 0.0000 0.0000
0.0000 7.5607 0.0000
-3.3302 0.0000 8.0315
Nd Sb Au
4 4 12
direct
0.1989 0.0360 0.2517
0.1989 0.4640 0.7517
0.8011 0.5360 0.2483
0.8011 0.9640 0.7483
0.3976 0.7422 0.5408
0.3976 0.7578 0.0408
0.6024 0.2422 0.9592
0.6024 0.2578 0.4592
0.0265 0.6857 0.0259
0.0265 0.8143 0.5259
0.2086 0.0741 0.8844
0.2086 0.4259 0.3844
0.3756 0.1142 0.6421
0.3756 0.3858 0.1421
0.6244 0.6142 0.8579
0.6244 0.8858 0.3579
0.7914 0.5741 0.6156
0.7914 0.9259 0.1156
0.9735 0.1857 0.4741
0.9735 0.3143 0.9741
```

Calculated values
The uncorrected energy comes out at -85.3 eV for the cell shown. As for the density of states at the Fermi level: 1.47 states/eV/f.u.

---

| no. | E_form (uncorrected) (eV per atom) |
| --- | --- |
| 1 | -1.3047 |
| 2 | -1.7796 |
| 3 | -1.7606 |
| 4 | -1.8033 |
| 5 | -0.8542 |
| 6 | -0.2472 |
| 7 | -0.8786 |
| 8 | -0.7176 |
| 9 | -0.4210 |
| 10 | -0.5882 |
| 11 | -0.5521 |
| 12 | -0.5219 |